Entry 1:
## Sr2In3Hg (PBE)

Data for crystalline Sr2In3Hg at its relaxed geometry.

The structure belongs to space group Cm (No. 8); the cell edges are 11.821, 5.068 and 8.128 Å and the angles 90.00°, 132.96° and 90.00°. The inequivalent atoms are Sr at (0.000, 0.000, 0.000), Sr at (0.086, 0.000, 0.591), In at (0.203, 0.500, 0.009), In at (0.208, 0.500, 0.400), In at (0.382, 0.000, 0.194) and Hg at (0.377, 0.000, 0.577).

The density is 6.71 g cm⁻³. As for the electronic total energy: -0.090 hartree per atom.


Entry 2:
## SrInHg2 (PBE)

Data for crystalline SrInHg2 at its relaxed geometry.

The structure belongs to space group Pnma (No. 62); the cell edges are 8.974, 7.745 and 6.499 Å and the angles 90.00°, 90.00° and 90.00°. The inequivalent atoms are Sr at (0.034, 0.250, 0.143), In at (0.090, 0.750, 0.358) and Hg at (0.199, 0.044, 0.605).

The density is 8.88 g cm⁻³. As for the electronic total energy: -0.059 hartree per atom.


Entry 3:
## SrInHg2 (PBE)

Data for crystalline SrInHg2 at its relaxed geometry.

The structure belongs to space group Pmmn (No. 59, origin choice 2); the cell edges are 5.448, 7.315 and 5.444 Å and the angles 90.00°, 90.00° and 90.00°. The inequivalent atoms are Sr at (0.250, 0.250, 0.239), In at (0.250, 0.750, 0.244) and Hg at (0.250, 0.501, 0.740).

The density is 9.24 g cm⁻³. As for the electronic total energy: -0.061 hartree per atom.


Entry 4:
## SrInHg2 (PBE)

Data for crystalline SrInHg2 at its relaxed geometry.

The structure belongs to space group P4/mmm (No. 123); the cell edges are 3.780, 3.780 and 7.707 Å and the angles 90.00°, 90.00° and 90.00°. The inequivalent atoms are Sr at (0.000, 0.000, 0.000), In at (0.000, 0.000, 0.500) and Hg at (0.500, 0.500, 0.268).

The density is 9.10 g cm⁻³. As for the electronic total energy: -0.058 hartree per atom.


Entry 5:
## SrInHg2 (PBE)

Data for crystalline SrInHg2 at its relaxed geometry.

The structure belongs to space group Immm (No. 71); the cell edges are 5.351, 5.362 and 7.546 Å and the angles 90.00°, 90.00° and 90.00°. The inequivalent atoms are Sr at (0.000, 0.000, 0.000), In at (0.000, 0.000, 0.500) and Hg at (0.000, 0.500, 0.249).

The density is 9.26 g cm⁻³. As for the electronic total energy: -0.061 hartree per atom.


Entry 6:
## SrInHg2 (PBE)

Data for crystalline SrInHg2 at its relaxed geometry.

The structure belongs to space group P4/mmm (No. 123); the cell edges are 4.937, 4.937 and 4.574 Å and the angles 90.00°, 90.00° and 90.00°. The inequivalent atoms are Sr at (0.000, 0.000, 0.000), In at (0.500, 0.500, 0.000) and Hg at (0.000, 0.500, 0.500).

The density is 8.99 g cm⁻³. As for the electronic total energy: -0.059 hartree per atom.


Entry 7:
## SrZnIn2Hg (PBE)

Data for crystalline SrZnIn2Hg at its relaxed geometry.

The structure belongs to space group I4mm (No. 107); the cell edges are 4.607, 4.607 and 12.356 Å and the angles 90.00°, 90.00° and 90.00°. The inequivalent atoms are Sr at (0.000, 0.000, 0.000), Zn at (0.000, 0.000, 0.612), In at (0.000, 0.500, 0.241) and Hg at (0.000, 0.000, 0.399).

The density is 7.39 g cm⁻³. As for the electronic total energy: -0.076 hartree per atom.


Entry 8:
## TaInHg (PBE)

Data for crystalline TaInHg at its relaxed geometry.

The structure belongs to space group F-43m (No. 216); the cell edges are 6.590, 6.590 and 6.590 Å and the angles 90.00°, 90.00° and 90.00°. The inequivalent atoms are Ta at (0.000, 0.000, 0.000), In at (0.000, 0.000, 0.500) and Hg at (0.250, 0.250, 0.750).

The density is 11.52 g cm⁻³. As for the electronic total energy: -0.147 hartree per atom.


Entry 9:
## Ta2InHg (PBE)

Data for crystalline Ta2InHg at its relaxed geometry.

The structure belongs to space group F-43m (No. 216); the cell edges are 6.833, 6.833 and 6.833 Å and the angles 90.00°, 90.00° and 90.00°. The inequivalent atoms are Ta at (0.000, 0.000, 0.000), Ta at (0.250, 0.250, 0.250), In at (0.000, 0.000, 0.500) and Hg at (0.250, 0.250, 0.750).

The density is 14.10 g cm⁻³. As for the electronic total energy: -0.223 hartree per atom.


Entry 10:
## TaInHg (PBE)

Data for crystalline TaInHg at its relaxed geometry.

The structure belongs to space group F-43m (No. 216); the cell edges are 6.667, 6.667 and 6.667 Å and the angles 90.00°, 90.00° and 90.00°. The inequivalent atoms are Ta at (0.000, 0.000, 0.000), In at (0.250, 0.250, 0.250) and Hg at (0.250, 0.250, 0.750).

The density is 11.13 g cm⁻³. As for the electronic total energy: -0.153 hartree per atom.


Entry 11:
## TaIn2Hg (PBE)

Data for crystalline TaIn2Hg at its relaxed geometry.

The structure belongs to space group F-43m (No. 216); the cell edges are 7.075, 7.075 and 7.075 Å and the angles 90.00°, 90.00° and 90.00°. The inequivalent atoms are Ta at (0.000, 0.000, 0.000), In at (0.000, 0.000, 0.500), In at (0.250, 0.250, 0.750) and Hg at (0.250, 0.250, 0.250).

The density is 11.46 g cm⁻³. As for the electronic total energy: -0.137 hartree per atom.


Entry 12:
## TbInHg3Te4 (PBE)

Data for crystalline TbInHg3Te4 at its relaxed geometry.

The structure belongs to space group P-43m (No. 215); the cell edges are 7.247, 7.247 and 7.247 Å and the angles 90.00°, 90.00° and 90.00°. The inequivalent atoms are Tb at (0.000, 0.000, 0.000), In at (0.500, 0.500, 0.500), Hg at (0.000, 0.000, 0.500) and Te at (0.233, 0.233, 0.767).

The density is 6.05 g cm⁻³. As for the electronic total energy: -0.096 hartree per atom.